(1)
This record from Alexandria via LeMat-Bulk describes an optimized crystal structure of TlHg2RuF. The functional is GGA-PBE.

Cell: 4.8508 4.8069 4.8508 Å, 90.00 90.00 90.00°
Last column: nearest neighbours and their distance in Å.
Fractional positions:
Hg (0.0000, 0.0000, 0.5000)  2 F 2.43
Hg (0.5000, 0.0000, 0.0000)  2 F 2.43
Tl (0.0000, 0.5000, 0.0000)  2 F 2.40
Ru (0.5000, 0.5000, 0.5000)  8 Hg 3.41, 4 Tl 3.43
F (0.0000, 0.0000, 0.0000)  2 Tl 2.40, 4 Hg 2.43

electronic total energy = -2.4132 eV/atom
space-group type = No. 123
uncorrected formation energy = 0.41 eV per atom
N(E_F) = 0.3399 states/eV per atom

***

(2)
This record from Alexandria via LeMat-Bulk describes an optimized crystal structure of TlHg2RuF8. The functional is GGA-PBE.

Cell: 4.6610 5.7274 7.7211 Å, 90.06 89.87 106.97°
Last column: nearest neighbours and their distance in Å.
Fractional positions:
F (0.4246, 0.2188, 0.0004)  1 Ru 2.01
F (0.9682, 0.2290, 0.1852)  1 Ru 1.97
F (0.0300, 0.7705, 0.1848)  1 Ru 1.97
F (0.5754, 0.7812, 0.9996)  1 Ru 2.01
F (0.0318, 0.7710, 0.8148)  1 Ru 1.97
F (0.9700, 0.2295, 0.8152)  1 Ru 1.97
F (0.4085, 0.7060, 0.4991)  2 Hg 2.35-2.36
F (0.5915, 0.2940, 0.5009)  2 Hg 2.35-2.36
Hg (0.4999, 0.4991, 0.2514)  6 F 2.35-2.56
Hg (0.5001, 0.5009, 0.7486)  6 F 2.35-2.56
Ru (0.0000, 0.0000, 0.0000)  6 F 1.97-2.01
Tl (0.0000, 0.0000, 0.5000)  8 F 2.78-2.89

electronic total energy = -3.7995 eV/atom
space-group type = No. 2
uncorrected formation energy = -1.53 eV per atom
N(E_F) = 0.1484 states/eV per atom

***

(3)
This record from Alexandria via LeMat-Bulk describes an optimized crystal structure of Hg4SF5. The functional is GGA-PBE.

Cell: 5.8224 8.1190 7.9281 Å, 90.00 90.00 90.00°
Last column: nearest neighbours and their distance in Å.
Fractional positions:
S (0.1617, 0.5000, 0.5000)  4 Hg 2.43-2.60
S (0.8383, 0.0000, 0.0000)  4 Hg 2.43-2.60
F (0.2456, 0.2453, 0.1874)  2 Hg 2.29-2.52
F (0.7544, 0.2547, 0.6874)  2 Hg 2.29-2.52
F (0.7544, 0.7453, 0.3126)  2 Hg 2.29-2.52
F (0.2456, 0.7547, 0.1874)  2 Hg 2.29-2.52
F (0.2456, 0.2453, 0.8126)  2 Hg 2.29-2.52
F (0.7544, 0.2547, 0.3126)  2 Hg 2.29-2.52
F (0.3344, 0.0000, 0.5000)  4 Hg 2.45-2.48
F (0.7544, 0.7453, 0.6874)  2 Hg 2.29-2.52
F (0.2456, 0.7547, 0.8126)  2 Hg 2.29-2.52
F (0.6656, 0.5000, 0.0000)  4 Hg 2.45-2.48
Hg (0.5418, 0.7889, 0.0000)  3 F 2.29-2.45, 1 S 2.43
Hg (0.0010, 0.0000, 0.6950)  5 F 2.48-2.62, 1 S 2.60
Hg (0.4582, 0.7111, 0.5000)  3 F 2.29-2.45, 1 S 2.43
Hg (0.0010, 0.0000, 0.3050)  5 F 2.48-2.62, 1 S 2.60
Hg (0.9990, 0.5000, 0.8050)  5 F 2.48-2.62, 1 S 2.60
Hg (0.5418, 0.2111, 0.0000)  3 F 2.29-2.45, 1 S 2.43
Hg (0.9990, 0.5000, 0.1950)  5 F 2.48-2.62, 1 S 2.60
Hg (0.4582, 0.2889, 0.5000)  3 F 2.29-2.45, 1 S 2.43

electronic total energy = -2.5360 eV/atom
space-group type = No. 59
uncorrected formation energy = -1.07 eV per atom
N(E_F) = 0.1661 states/eV per atom

***

(4)
This record from Alexandria via LeMat-Bulk describes an optimized crystal structure of HgSF3. The functional is GGA-PBE.

Cell: 4.5326 4.5326 4.5326 Å, 90.00 90.00 90.00°
Last column: nearest neighbours and their distance in Å.
Fractional positions:
Hg (0.0000, 0.0000, 0.0000)  6 F 2.27
F (0.0000, 0.5000, 0.0000)  2 Hg 2.27
F (0.5000, 0.0000, 0.0000)  2 Hg 2.27
F (0.0000, 0.0000, 0.5000)  2 Hg 2.27
S (0.5000, 0.5000, 0.5000)  12 F 3.21

electronic total energy = -2.4905 eV/atom
E above lowest polymorph = 0.95 kcal/mol of atoms
space-group type = No. 221
uncorrected formation energy = -0.48 eV per atom
N(E_F) = 1.0933 states/eV per atom

***

(5)
This record from Alexandria via LeMat-Bulk describes an optimized crystal structure of Hg2SF2. The functional is GGA-PBE.

Cell: 5.4623 6.6214 7.9815 Å, 107.48 90.00 114.36°
Last column: nearest neighbours and their distance in Å.
Fractional positions:
F (0.6141, 0.2282, 0.6272)  1 Hg 2.11
F (0.9589, 0.9179, 0.6406)  1 Hg 2.12
F (0.0411, 0.0821, 0.3594)  1 Hg 2.12
F (0.3859, 0.7718, 0.3728)  1 Hg 2.11
Hg (0.1694, 0.3388, 0.6160)  1 F 2.12, 1 S 2.33
Hg (0.5241, 0.0482, 0.2659)  1 F 2.11, 1 S 2.33
Hg (0.8306, 0.6612, 0.3840)  1 F 2.12, 1 S 2.33
Hg (0.4759, 0.9518, 0.7341)  1 F 2.11, 1 S 2.33
S (0.6667, 0.3335, 0.1272)  2 Hg 2.33
S (0.3333, 0.6665, 0.8728)  2 Hg 2.33

electronic total energy = -2.6075 eV/atom
E above lowest polymorph = 0.00 kcal/mol of atoms
space-group type = No. 12
uncorrected formation energy = -0.91 eV per atom

***

(6)
This record from Alexandria via LeMat-Bulk describes an optimized crystal structure of Hg5S3F2. The functional is GGA-PBE.

Cell: 5.9701 10.5993 9.4582 Å, 81.15 83.51 62.45°
Last column: nearest neighbours and their distance in Å.
Fractional positions:
Hg (0.5650, 0.6850, 0.1850)  2 S 2.41
Hg (0.5905, 0.3424, 0.4142)  1 F 2.18, 1 S 2.39
Hg (0.6529, 0.9142, 0.8424)  1 F 2.18, 1 S 2.39
Hg (0.2061, 0.5439, 0.0439)  1 S 2.82
Hg (0.7939, 0.4561, 0.9561)  1 S 2.82
Hg (0.1626, 0.0874, 0.5874)  1 S 2.35, 2 F 2.41
Hg (0.4095, 0.6576, 0.5858)  1 F 2.18, 1 S 2.39
Hg (0.8374, 0.9126, 0.4126)  1 S 2.35, 2 F 2.41
Hg (0.3471, 0.0858, 0.1576)  1 F 2.18, 1 S 2.39
Hg (0.4350, 0.3150, 0.8150)  2 S 2.41
S (0.6565, 0.1283, 0.0019)  2 Hg 2.39-2.41
S (0.3435, 0.8717, 0.9981)  2 Hg 2.39-2.41
S (0.7867, 0.4981, 0.3717)  2 Hg 2.39-2.41
S (0.2133, 0.5019, 0.6283)  2 Hg 2.39-2.41
S (0.0051, 0.7449, 0.2449)  1 Hg 2.35
S (0.9949, 0.2551, 0.7551)  1 Hg 2.35
F (0.5210, 0.1563, 0.4318)  2 Hg 2.18-2.41
F (0.4790, 0.8437, 0.5682)  2 Hg 2.18-2.41
F (0.8909, 0.9318, 0.6563)  2 Hg 2.18-2.41
F (0.1091, 0.0682, 0.3437)  2 Hg 2.18-2.41

electronic total energy = -2.1254 eV/atom
space-group type = No. 15
uncorrected formation energy = -0.36 eV per atom

***

(7)
This record from Alexandria via LeMat-Bulk describes an optimized crystal structure of Hg2SF2. The functional is GGA-PBE.

Cell: 4.0193 6.3526 4.0005 Å, 90.33 120.16 90.00°
Last column: nearest neighbours and their distance in Å.
Fractional positions:
F (0.1668, 0.3800, 0.8336)  4 Hg 2.43-2.49
F (0.8332, 0.6200, 0.1664)  4 Hg 2.43-2.49
Hg (0.1663, 0.7623, 0.8326)  4 F 2.43-2.49
Hg (0.8337, 0.2377, 0.1674)  4 F 2.43-2.49
S (0.5000, 0.0000, 0.5000)  6 Hg 2.75-2.77

electronic total energy = -2.5573 eV/atom
E above lowest polymorph = 1.16 kcal/mol of atoms
space-group type = No. 12
uncorrected formation energy = -0.86 eV per atom
N(E_F) = 0.1815 states/eV per atom

***

(8)
This record from Alexandria via LeMat-Bulk describes an optimized crystal structure of Hg3SF. The functional is GGA-PBE.

Cell: 5.2997 5.2997 5.2997 Å, 90.00 90.00 90.00°
Last column: nearest neighbours and their distance in Å.
Fractional positions:
Hg (0.5000, 0.0000, 0.0000)  2 S 2.65
Hg (0.0000, 0.0000, 0.5000)  2 S 2.65
Hg (0.0000, 0.5000, 0.0000)  2 S 2.65
F (0.5000, 0.5000, 0.5000)  12 Hg 3.75
S (0.0000, 0.0000, 0.0000)  6 Hg 2.65

electronic total energy = -1.4799 eV/atom
E above lowest polymorph = 0.00 kcal/mol of atoms
space-group type = No. 221
uncorrected formation energy = -0.10 eV per atom
N(E_F) = 0.4274 states/eV per atom

***

(9)
This record from Alexandria via LeMat-Bulk describes an optimized crystal structure of Hg2SF. The functional is GGA-PBE.

Cell: 4.7100 4.7100 4.7100 Å, 60.00 60.00 60.00°
Last column: nearest neighbours and their distance in Å.
Fractional positions:
F (0.0000, 0.0000, 0.0000)  8 Hg 2.88
Hg (0.2500, 0.2500, 0.2500)  4 S 2.88, 4 F 2.88
Hg (0.7500, 0.7500, 0.7500)  4 F 2.88, 4 S 2.88
S (0.5000, 0.5000, 0.5000)  8 Hg 2.88

electronic total energy = -1.9612 eV/atom
E above lowest polymorph = 5.73 kcal/mol of atoms
space-group type = No. 225
uncorrected formation energy = -0.31 eV per atom
N(E_F) = 0.4382 states/eV per atom

***

(10)
This record from Alexandria via LeMat-Bulk describes an optimized crystal structure of Hg3SF4. The functional is GGA-PBE.

Cell: 6.3611 6.6417 9.2428 Å, 108.39 90.00 118.61°
Last column: nearest neighbours and their distance in Å.
Fractional positions:
Hg (0.3070, 0.6175, 0.6043)  1 F 2.15, 1 S 2.40
Hg (0.3105, 0.6175, 0.1043)  1 F 2.15, 1 S 2.40
Hg (0.6586, 0.2995, 0.3991)  3 F 2.24-2.44, 1 S 2.40
Hg (0.6409, 0.2995, 0.8991)  3 F 2.24-2.44, 1 S 2.40
Hg (0.9535, 0.8413, 0.2982)  1 F 2.15, 1 S 2.40
Hg (0.8878, 0.8413, 0.7982)  1 F 2.15, 1 S 2.40
S (0.3183, 0.0017, 0.1932)  3 Hg 2.40
S (0.6835, 0.0017, 0.6932)  3 Hg 2.40
F (0.0029, 0.2618, 0.4720)  1 Hg 2.15
F (0.7045, 0.6815, 0.0088)  1 Hg 2.24
F (0.9770, 0.6815, 0.5088)  1 Hg 2.24
F (0.8668, 0.4037, 0.1423)  3 Hg 2.38-2.58
F (0.0900, 0.6727, 0.8319)  1 Hg 2.15
F (0.2589, 0.2618, 0.9720)  1 Hg 2.15
F (0.5827, 0.6727, 0.3319)  1 Hg 2.15
F (0.5370, 0.4037, 0.6423)  3 Hg 2.38-2.58

electronic total energy = -2.7196 eV/atom
space-group type = No. 9
uncorrected formation energy = -1.15 eV per atom
N(E_F) = 0.0000 states/eV per atom

***

(11)
This record from Alexandria via LeMat-Bulk describes an optimized crystal structure of Hg2SF. The functional is GGA-PBE.

Cell: 5.3894 8.4508 7.9370 Å, 90.00 90.00 90.00°
Last column: nearest neighbours and their distance in Å.
Fractional positions:
S (0.4433, 0.3294, 0.1010)  4 Hg 2.48-2.70
S (0.4433, 0.8294, 0.3990)  4 Hg 2.48-2.70
S (0.9433, 0.1706, 0.6010)  4 Hg 2.48-2.70
S (0.9433, 0.6706, 0.8990)  4 Hg 2.48-2.70
Hg (0.9432, 0.9571, 0.8163)  1 F 2.40, 2 S 2.48-2.51
Hg (0.4432, 0.0429, 0.1837)  1 F 2.40, 2 S 2.48-2.51
Hg (0.4432, 0.6640, 0.9056)  2 S 2.70, 2 F 2.71-2.78
Hg (0.4432, 0.1640, 0.5944)  2 S 2.70, 2 F 2.71-2.78
Hg (0.9432, 0.3360, 0.0944)  2 S 2.70, 2 F 2.71-2.78
Hg (0.9432, 0.4571, 0.6837)  1 F 2.40, 2 S 2.48-2.51
Hg (0.4432, 0.5429, 0.3163)  1 F 2.40, 2 S 2.48-2.51
Hg (0.9432, 0.8360, 0.4056)  2 S 2.70, 2 F 2.71-2.78
F (0.4434, 0.9844, 0.8882)  1 Hg 2.40
F (0.9434, 0.0156, 0.1118)  1 Hg 2.40
F (0.4434, 0.4844, 0.6118)  1 Hg 2.40
F (0.9434, 0.5156, 0.3882)  1 Hg 2.40

electronic total energy = -2.2097 eV/atom
E above lowest polymorph = 0.00 kcal/mol of atoms
space-group type = No. 62
uncorrected formation energy = -0.56 eV per atom
N(E_F) = 0.2781 states/eV per atom

***

(12)
This record from Alexandria via LeMat-Bulk describes an optimized crystal structure of Hg2SF. The functional is GGA-PBE.

Cell: 5.5985 5.5985 7.5977 Å, 68.38 68.38 90.00°
Last column: nearest neighbours and their distance in Å.
Fractional positions:
Hg (0.1343, 0.6250, 0.2500)  2 F 2.53, 2 S 2.59
Hg (0.6157, 0.1250, 0.2500)  2 F 2.53, 2 S 2.59
Hg (0.3750, 0.3843, 0.7500)  2 F 2.53, 2 S 2.59
Hg (0.8750, 0.8657, 0.7500)  2 F 2.53, 2 S 2.59
F (0.2500, 0.7500, 0.5000)  4 Hg 2.53
F (0.5000, 0.5000, 0.0000)  4 Hg 2.53
S (0.0000, 0.0000, 0.0000)  4 Hg 2.59
S (0.7500, 0.2500, 0.5000)  4 Hg 2.59

electronic total energy = -2.1058 eV/atom
E above lowest polymorph = 2.40 kcal/mol of atoms
space-group type = No. 122
uncorrected formation energy = -0.46 eV per atom
N(E_F) = 0.3061 states/eV per atom